! PBE Na2LiBO4, relaxed; values from VASP
! - E_form (uncorrected): -1.548 eV/atom
! - Density: 2.48 g cm⁻³
&SYSTEM
  ibrav = 0, nat = 8, ntyp = 4
/
ATOMIC_SPECIES
Na 22.99 Na.upf
Li 6.94 Li.upf
B 10.81 B.upf
O 16.00 O.upf
ATOMIC_POSITIONS crystal
Na 0.000 0.500 0.500
Na 0.500 0.000 0.500
Li 0.000 0.000 0.000
B 0.500 0.500 0.000
O 0.176 0.176 0.731
O 0.444 0.444 0.269
O 0.556 0.824 0.000
O 0.824 0.556 0.000
CELL_PARAMETERS angstrom
-2.836 2.836 2.661
2.836 -2.836 2.661
2.836 2.836 -2.661